Material: In3Ru
Method: DFT, GGA-PBEsol
State: optimized geometry

Output
VASP energy (eV per atom): -4.928
M_tot (μB per atom): 0.00
Energy relative to the elements (eV/atom): -0.148

The structure in CIF format:
```
data_In3Ru
_chemical_formula_sum 'In12 Ru4'
_cell_length_a 6.974
_cell_length_b 6.974
_cell_length_c 7.214
_cell_angle_alpha 90.00
_cell_angle_beta 90.00
_cell_angle_gamma 90.00
_symmetry_space_group_name_H-M 'P 42/m n m'
_symmetry_Int_Tables_number 136
_symmetry_space_group_name_Hall '-P 4n 2n'
loop_
_atom_site_label
_atom_site_type_symbol
_atom_site_fract_x
_atom_site_fract_y
_atom_site_fract_z
_atom_site_occupancy
In1 In 0.000 0.500 0.000 1
In2 In 0.156 0.156 0.238 1
Ru1 Ru 0.154 0.846 0.000 1
```